No. 1
# PBE Pr6SnP2I3, relaxed
# - Calculated density: 6.1 g/cm3
data_Pr6SnP2I3
_chemical_formula_sum 'Pr12 Sn2 P4 I6'
_symmetry_space_group_name_H-M 'C 1 2/m 1'
_symmetry_Int_Tables_number 12
_cell_length_a 20.037
_cell_length_b 4.353
_cell_length_c 9.273
_cell_angle_alpha 90.00
_cell_angle_beta 107.60
_cell_angle_gamma 90.00
loop_
_symmetry_equiv_pos_as_xyz
'x,y,z'
'-x,-y,-z'
'-x,y,-z'
'x,-y,z'
'x+1/2,y+1/2,z'
'-x+1/2,-y+1/2,-z'
'-x+1/2,y+1/2,-z'
'x+1/2,-y+1/2,z'
loop_
_atom_site_label
_atom_site_type_symbol
_atom_site_fract_x
_atom_site_fract_y
_atom_site_fract_z
Pr1 Pr 0.021 0.000 0.244
Pr2 Pr 0.163 0.500 0.130
Pr3 Pr 0.180 0.500 0.550
Sn1 Sn 0.000 0.500 0.000
P1 P 0.171 0.000 0.339
I1 I 0.000 0.500 0.500
I2 I 0.163 0.000 0.832



No. 2
# PBE SrPrPI, relaxed
# - Calculated density: 5.0 g/cm3
data_SrPrPI
_chemical_formula_sum 'Sr3 Pr3 P3 I3'
_symmetry_space_group_name_H-M 'R 3 m'
_symmetry_Int_Tables_number 160
_symmetry_space_group_name_Hall 'R 3 -2"'
_cell_length_a 4.3194
_cell_length_b 4.3194
_cell_length_c 24.0267
_cell_angle_alpha 90.00
_cell_angle_beta 90.00
_cell_angle_gamma 120.00
loop_
_atom_site_label
_atom_site_type_symbol
_atom_site_fract_x
_atom_site_fract_y
_atom_site_fract_z
Sr1 Sr 0.0000 0.0000 0.0000
Pr1 Pr 0.0000 0.0000 0.7960
P1 P 0.0000 0.0000 0.4024
I1 I 0.0000 0.0000 0.2273



No. 3
# PBE Pr4TePI2, relaxed
# - Calculated density: 6.2 g/cm3
data_Pr4TePI2
_chemical_formula_sum 'Pr4 Te1 P1 I2'
_symmetry_space_group_name_H-M 'P 1 2/m 1'
_symmetry_Int_Tables_number 10
_cell_length_a 7.800
_cell_length_b 4.333
_cell_length_c 8.092
_cell_angle_alpha 90.00
_cell_angle_beta 107.84
_cell_angle_gamma 90.00
loop_
_symmetry_equiv_pos_as_xyz
'x,y,z'
'-x,-y,-z'
'-x,y,-z'
'x,-y,z'
loop_
_atom_site_label
_atom_site_type_symbol
_atom_site_fract_x
_atom_site_fract_y
_atom_site_fract_z
Pr1 Pr 0.204 0.000 0.196
Pr2 Pr 0.227 0.500 0.794
Te1 Te 0.500 0.000 0.000
P1 P 0.000 0.500 0.000
I1 I 0.000 0.000 0.500
I2 I 0.500 0.500 0.500



No. 4
# PBE PrYPI, relaxed
# - Calculated density: 5.7 g/cm3
data_PrYPI
_chemical_formula_sum 'Pr3 Y3 P3 I3'
_symmetry_space_group_name_H-M 'R 3 m'
_symmetry_Int_Tables_number 160
_symmetry_space_group_name_Hall 'R 3 -2"'
_cell_length_a 4.1390
_cell_length_b 4.1390
_cell_length_c 22.9046
_cell_angle_alpha 90.00
_cell_angle_beta 90.00
_cell_angle_gamma 120.00
loop_
_atom_site_label
_atom_site_type_symbol
_atom_site_fract_x
_atom_site_fract_y
_atom_site_fract_z
Pr1 Pr 0.0000 0.0000 0.0000
Y1 Y 0.0000 0.0000 0.2051
P1 P 0.0000 0.0000 0.5963
I1 I 0.0000 0.0000 0.7732



| no. | VASP energy (eV per formula unit) | raw formation energy (eV per formula unit) |
| --- | --- | --- |
| 1 | -62.56 | -14.4 |
| 2 | -18.75 | -5.3 |
| 3 | -40.84 | -10.1 |
| 4 | -23.62 | -5.4 |